This record from the Alexandria database describes crystalline Ba4SmMg5 at its relaxed geometry. The functional is PBE-GGA.

Energy relative to the elements ... -0.047 eV per atom
Space group ... P4/mmm (123)
Total DFT energy (no corrections) ... -20.86 eV/cell

a b c (Å): 4.191 4.191 21.817
angles (deg): 90.00 90.00 90.00
Positions (direct):
Ba 0.000 0.000 0.105
Ba 0.000 0.000 0.316
Ba 0.000 0.000 0.684
Ba 0.000 0.000 0.895
Sm 0.000 0.000 0.500
Mg 0.500 0.500 0.000
Mg 0.500 0.500 0.210
Mg 0.500 0.500 0.424
Mg 0.500 0.500 0.576
Mg 0.500 0.500 0.790